VASP calculation (PBE) on a geometry-optimized Tl3IrCl2F6 structure.

Values from the calculation:
Its total energy is -96.07 eV per cell. The formation energy (no corrections) is -1655.1 kJ/mol of formula units. The total magnetization comes out at 3.670 Bohr magnetons per cell. The value obtained for the density of states at the Fermi level is 8.8 states/eV/f.u.

Unit cell a=15.220 b=7.642 c=4.797 alpha=90.00 beta=90.13 gamma=90.00
Space group C2/m (No. 12)
Unique sites:
Tl  0.000  0.000  0.000 x2
Tl  0.250  0.250  0.500 x4
Ir  0.000  0.500  0.500 x2
Cl  0.201  0.000  0.013 x4
F  0.054  0.315  0.719 x8
F  0.108  0.500  0.288 x4